# 1
The following is a DFT calculation (PBE) of a relaxed structure of CaZn2NiSn.

The energy is -0.2259 Ry per atom. Its formation enthalpy at 0 K is -207 meV per atom.

It has space group P4/mmm (No. 123), with a = 4.6847 Å, b = 4.6847 Å, c = 4.8561 Å, α = 90.00°, β = 90.00° and γ = 90.00°. The distinct sites, in fractional coordinates, are Ca at (0.0000, 0.0000, 0.0000), Zn at (0.0000, 0.5000, 0.5000), Ni at (0.5000, 0.5000, 0.5000) and Sn at (0.5000, 0.5000, 0.0000).

# 2
The following is a DFT calculation (PBE) of a relaxed structure of CaZrNiSn2.

The energy is -0.3610 Ry per atom. Its formation enthalpy at 0 K is -45 meV per atom.

It has space group P4/mmm (No. 123), with a = 4.9856 Å, b = 4.9856 Å, c = 4.9874 Å, α = 90.00°, β = 90.00° and γ = 90.00°. The distinct sites, in fractional coordinates, are Ca at (0.0000, 0.0000, 0.0000), Zr at (0.5000, 0.5000, 0.0000), Ni at (0.5000, 0.5000, 0.5000) and Sn at (0.0000, 0.5000, 0.5000).

# 3
The following is a DFT calculation (PBE) of a relaxed structure of Sr3CaNi.

The energy is -0.0960 Ry per atom. Its formation enthalpy at 0 K is 1260 meV per atom. The polymorph energy (0 for the lowest one) comes out at 1.256 eV/atom.

It has space group Pm-3m (No. 221), with a = 6.5825 Å, b = 6.5825 Å, c = 6.5825 Å, α = 90.00°, β = 90.00° and γ = 90.00°. The distinct sites, in fractional coordinates, are Sr at (0.0000, 0.0000, 0.5000), Ca at (0.0000, 0.0000, 0.0000) and Ni at (0.5000, 0.5000, 0.5000).